Here is a relaxed structure of LiDyCu2Si2 from Alexandria. Energies are from PBE-GGA.

energy relative to the elements, uncorrected = -0.471 eV per atom

Cell and atoms, written as POSCAR:
```
LiDyCu2Si2
1.0
4.075 0.000 0.000
-2.038 3.529 0.000
0.000 0.000 6.529
Li Dy Cu Si
1 1 2 2
Cartesian
0.000 0.000 0.000 Li
0.000 0.000 3.265 Dy
0.000 2.353 1.128 Cu
2.038 1.176 5.401 Cu
0.000 2.353 5.119 Si
2.038 1.176 1.410 Si
```


Here is a relaxed structure of Mg6GaB from Alexandria. Energies are from PBE-GGA.

formation energy = 167 meV per atom
relative energy among the computed polymorphs = 0 meV/atom

Cell and atoms, written as POSCAR:
```
Mg6GaB
1.0
4.102 0.000 0.000
0.000 4.003 4.708
0.000 -4.003 4.708
Mg Ga B
6 1 1
Cartesian
0.000 0.000 0.000 Mg
0.000 -1.470 2.493 Mg
0.000 1.470 2.493 Mg
2.051 -1.815 4.889 Mg
2.051 1.815 4.889 Mg
2.051 0.000 7.304 Mg
0.000 0.000 5.368 Ga
2.051 0.000 1.347 B
```


Here is a relaxed structure of Ta2Te2Mo from Alexandria. Energies are from PBE-GGA.

energy relative to the elements, uncorrected = 0.560 eV per atom
relative energy among the computed polymorphs = 0 meV/atom

Cell and atoms, written as POSCAR:
```
Ta2Te2Mo
1.0
7.470 0.000 0.000
0.000 7.470 0.000
0.000 0.000 3.577
Ta Te Mo
4 4 2
Cartesian
1.013 2.722 0.000 Ta
2.722 6.457 0.000 Ta
4.749 1.013 0.000 Ta
6.457 4.749 0.000 Ta
1.206 4.942 1.788 Te
2.529 1.206 1.788 Te
4.942 6.264 1.788 Te
6.264 2.529 1.788 Te
0.000 0.000 1.788 Mo
3.735 3.735 1.788 Mo
```


Here is a relaxed structure of NaScNi2Hg from Alexandria. Energies are from PBE-GGA.

formation energy = 811 meV per atom

Cell and atoms, written as POSCAR:
```
NaScNi2Hg
1.0
4.916 0.000 0.000
0.000 4.916 0.000
0.000 0.000 5.147
Na Sc Ni Hg
1 1 2 1
Cartesian
0.000 0.000 0.000 Na
2.458 2.458 0.000 Sc
0.000 2.458 2.573 Ni
2.458 0.000 2.573 Ni
2.458 2.458 2.573 Hg
```


Here is a relaxed structure of Nd2CuNi5Rh2 from Alexandria. Energies are from PBE-GGA.

formation energy = -108 meV per atom

Cell and atoms, written as POSCAR:
```
Nd2CuNi5Rh2
1.0
9.323 0.000 0.000
0.000 9.323 0.000
0.000 0.000 3.666
Nd Cu Ni Rh
4 2 10 4
Cartesian
1.606 3.056 0.000 Nd
3.056 7.718 0.000 Nd
6.268 1.606 0.000 Nd
7.718 6.268 0.000 Nd
0.000 0.000 0.000 Cu
4.662 4.662 0.000 Cu
0.000 4.662 1.833 Ni
0.501 7.587 1.833 Ni
1.736 0.501 1.833 Ni
2.925 5.163 1.833 Ni
4.161 2.925 1.833 Ni
4.662 0.000 1.833 Ni
5.163 6.398 1.833 Ni
6.398 4.161 1.833 Ni
7.587 8.823 1.833 Ni
8.823 1.736 1.833 Ni
1.210 5.871 0.000 Rh
3.452 1.210 0.000 Rh
5.871 8.114 0.000 Rh
8.114 3.452 0.000 Rh
```


Here is a relaxed structure of V3GaPd from Alexandria. Energies are from PBE-GGA.

formation energy = 1181 meV per atom
relative energy among the computed polymorphs = 61 meV/atom

Cell and atoms, written as POSCAR:
```
V3GaPd
1.0
4.607 0.000 0.000
0.000 4.607 0.000
0.000 0.000 4.607
V Ga Pd
3 1 1
Cartesian
0.000 0.000 2.304 V
0.000 2.304 0.000 V
2.304 0.000 0.000 V
2.304 2.304 2.304 Ga
0.000 0.000 0.000 Pd
```


Here is a relaxed structure of BaCoBi2Te from Alexandria. Energies are from PBE-GGA.

energy relative to the elements, uncorrected = -0.258 eV per atom

Cell and atoms, written as POSCAR:
```
BaCoBi2Te
1.0
5.104 0.000 0.000
0.000 5.104 0.000
0.000 0.000 5.946
Ba Co Bi Te
1 1 2 1
Cartesian
0.000 0.000 0.000 Ba
2.552 2.552 2.973 Co
0.000 2.552 2.973 Bi
2.552 0.000 2.973 Bi
2.552 2.552 0.000 Te
```


Here is a relaxed structure of Li2TaBe from Alexandria. Energies are from PBE-GGA.

formation energy = 435 meV per atom

Cell and atoms, written as POSCAR:
```
Li2TaBe
1.0
4.225 -1.283 0.000
4.225 1.283 0.000
-0.630 0.000 5.429
Li Ta Be
2 1 1
Cartesian
0.000 0.000 0.000 Li
1.541 0.000 4.286 Li
6.273 0.000 1.756 Ta
3.957 0.000 2.872 Be
```


Here is a relaxed structure of MgSiF2 from Alexandria. Energies are from PBE-GGA.

energy relative to the elements, uncorrected = -1.308 eV per atom
relative energy among the computed polymorphs = 856 meV/atom

Cell and atoms, written as POSCAR:
```
MgSiF2
1.0
1.490 0.860 7.713
-1.490 0.860 7.713
0.000 -1.720 7.713
Mg Si F
1 1 2
Cartesian
0.000 0.000 0.000 Mg
0.000 0.000 11.569 Si
0.000 0.000 1.890 F
0.000 0.000 21.248 F
```


Here is a relaxed structure of SiS2N2 from Alexandria. Energies are from PBE-GGA.

energy relative to the elements, uncorrected = 0.626 eV per atom
relative energy among the computed polymorphs = 0 meV/atom

Cell and atoms, written as POSCAR:
```
SiS2N2
1.0
3.384 0.000 0.000
0.000 3.384 0.000
0.000 0.000 7.146
Si S N
1 2 2
Cartesian
0.000 0.000 0.000 Si
0.000 0.000 3.573 S
1.692 1.692 3.573 S
0.000 1.692 0.000 N
1.692 0.000 0.000 N
```


Here is a relaxed structure of Pr4SmEr4 from Alexandria. Energies are from PBE-GGA.

formation energy = 23 meV per atom

Cell and atoms, written as POSCAR:
```
Pr4SmEr4
1.0
-5.424 5.424 2.551
5.424 -5.424 2.551
5.424 5.424 -2.551
Pr Sm Er
4 1 4
Cartesian
1.816 1.816 0.000 Pr
3.608 -3.608 2.551 Pr
-3.608 3.608 2.551 Pr
3.608 3.608 2.551 Pr
0.000 0.000 2.551 Sm
5.424 1.771 0.000 Er
1.771 5.424 0.000 Er
3.653 0.000 2.551 Er
0.000 3.653 2.551 Er
```


Here is a relaxed structure of Tb3NpTl4Se8 from Alexandria. Energies are from PBE-GGA.

energy relative to the elements, uncorrected = -1.261 eV per atom

Cell and atoms, written as POSCAR:
```
Tb3NpTl4Se8
1.0
4.214 2.433 7.759
-4.214 2.433 7.759
0.000 -4.866 7.759
Tb Np Tl Se
3 1 4 8
Cartesian
-2.107 -1.216 7.759 Tb
-2.107 1.216 15.519 Tb
0.000 2.433 7.759 Tb
0.000 0.000 0.000 Np
-4.214 0.000 11.639 Tl
-2.107 1.216 3.880 Tl
2.107 1.216 3.880 Tl
0.000 0.000 11.639 Tl
0.000 -2.418 9.352 Se
-2.094 1.209 9.352 Se
0.000 0.000 6.169 Se
-2.094 -1.209 13.927 Se
2.094 1.209 9.352 Se
0.000 0.000 17.109 Se
2.094 -1.209 13.927 Se
0.000 2.418 13.927 Se
```


Across the entries above, E_tot takes the values -4.7301, -2.2416, -7.6043, -3.0918, -5.8319, -5.9338, -4.2443, -4.4163, -3.9983, -5.4393, -4.6537, -5.2713 eV/atom, respectively.